(1)
Entry from the Alexandria database: an optimized crystal structure of Cs2PdF (PBE).

Properties
**Space group**: No. 225
**Formation energy without anion corrections**: -0.810 eV per atom

Lattice parameters (Å, degrees): 5.459 5.459 5.459 60.00 60.00 60.00
Each line ends with the local moment (μB).
Positions (direct):
1 Cs 0.750 0.750 0.750  0.06
2 Cs 0.250 0.250 0.250  0.06
3 F 0.000 0.000 0.000  0.02
4 Pd 0.500 0.500 0.500  0.19

(2)
Entry from the Alexandria database: an optimized crystal structure of Cs5PdF6 (PBE).

Properties
**Space group**: No. 12
**Formation energy without anion corrections**: -2.239 eV per atom

Lattice parameters (Å, degrees): 7.249 7.294 7.376 60.37 81.39 72.38
Each line ends with the local moment (μB).
Positions (direct):
1 F 0.272 0.901 0.657  0.01
2 F 0.272 0.558 0.343  0.01
3 F 0.728 0.099 0.343  0.01
4 F 0.728 0.442 0.657  0.01
5 F 0.829 0.810 0.000  0.03
6 F 0.171 0.190 0.000  0.03
7 Cs 0.500 0.842 0.316  0.00
8 Cs 0.500 0.500 0.000  0.00
9 Cs 0.500 0.158 0.684  0.00
10 Cs 0.000 0.677 0.646  0.00
11 Cs 0.000 0.323 0.354  0.00
12 Pd 0.000 0.000 0.000  0.75

(3)
Entry from the Alexandria database: an optimized crystal structure of Cs3Pd2F8 (PBE).

Properties
**Space group**: No. 166
**Formation energy without anion corrections**: -1.813 eV per atom

Lattice parameters (Å, degrees): 6.820 6.820 8.332 65.84 65.84 60.00
Each line ends with the local moment (μB).
Positions (direct):
1 F 0.790 0.273 0.665  0.17
2 F 0.727 0.210 0.335  0.17
3 F 0.652 0.652 0.044  0.00
4 F 0.210 0.727 0.335  0.17
5 F 0.273 0.790 0.665  0.17
6 F 0.348 0.348 0.956  0.00
7 F 0.273 0.273 0.665  0.17
8 F 0.727 0.727 0.335  0.17
9 Cs 0.000 0.000 0.000  0.00
10 Cs 0.780 0.780 0.659  0.00
11 Cs 0.220 0.220 0.341  0.00
12 Pd 0.558 0.558 0.326  0.92
13 Pd 0.442 0.442 0.674  0.92

(4)
Entry from the Alexandria database: an optimized crystal structure of Cs3PdF (PBE).

Properties
**Space group**: No. 221
**Formation energy without anion corrections**: -0.990 eV per atom

Lattice parameters (Å, degrees): 5.827 5.827 5.827 90.00 90.00 90.00
Positions (direct):
1 Cs 0.500 0.000 0.000
2 Cs 0.000 0.000 0.500
3 Cs 0.000 0.500 0.000
4 F 0.000 0.000 0.000
5 Pd 0.500 0.500 0.500

(5)
Entry from the Alexandria database: an optimized crystal structure of CsPd4F7 (PBE).

Properties
**Space group**: No. 31
**Formation energy without anion corrections**: -1.202 eV per atom

Lattice parameters (Å, degrees): 7.058 4.211 16.065 90.00 90.00 90.00
Positions (direct):
1 Pd 0.504 0.002 0.737
2 Pd 0.712 0.281 0.078
3 Pd 0.712 0.281 0.922
4 Pd 0.004 0.998 0.237
5 Pd 0.212 0.719 0.578
6 Pd 0.004 0.998 0.763
7 Pd 0.212 0.719 0.422
8 Pd 0.504 0.002 0.263
9 F 0.553 0.365 0.188
10 F 0.766 0.086 0.308
11 F 0.553 0.365 0.812
12 F 0.266 0.914 0.192
13 F 0.766 0.086 0.692
14 F 0.467 0.683 0.639
15 F 0.480 0.251 0.000
16 F 0.266 0.914 0.808
17 F 0.967 0.317 0.139
18 F 0.980 0.749 0.500
19 F 0.053 0.635 0.312
20 F 0.967 0.317 0.861
21 F 0.467 0.683 0.361
22 F 0.053 0.635 0.688
23 Cs 0.673 0.251 0.500
24 Cs 0.173 0.749 0.000

(6)
Entry from the Alexandria database: an optimized crystal structure of Cs2PdF4 (PBE).

Properties
**Space group**: No. 139
**Formation energy without anion corrections**: -2.106 eV per atom

Lattice parameters (Å, degrees): 4.497 4.497 7.952 106.42 106.42 90.00
Positions (direct):
1 Pd 0.000 0.000 0.000
2 F 0.145 0.145 0.290
3 F 0.000 0.500 0.000
4 F 0.855 0.855 0.710
5 F 0.500 0.000 0.000
6 Cs 0.643 0.643 0.287
7 Cs 0.357 0.357 0.713

(7)
Entry from the Alexandria database: an optimized crystal structure of Cs2Pd3F10 (PBE).

Properties
**Space group**: No. 12
**Formation energy without anion corrections**: -1.717 eV per atom

Lattice parameters (Å, degrees): 6.457 8.894 10.454 110.26 107.99 90.00
Each line ends with the local moment (μB).
Positions (direct):
1 Cs 0.382 0.274 0.765  0.00
2 Cs 0.618 0.726 0.235  0.00
3 Cs 0.713 0.313 0.425  0.00
4 Cs 0.287 0.687 0.575  0.00
5 Pd 0.927 0.525 0.854  -0.20
6 Pd 0.073 0.475 0.146  -0.20
7 Pd 0.756 0.000 0.000  0.72
8 Pd 0.180 0.007 0.360  -0.02
9 Pd 0.820 0.993 0.640  -0.02
10 Pd 0.244 0.000 0.000  0.72
11 F 0.356 0.468 0.281  -0.01
12 F 0.870 0.014 0.212  0.01
13 F 0.644 0.532 0.719  -0.01
14 F 0.977 0.826 0.954  0.08
15 F 0.000 0.000 0.500  0.00
16 F 0.211 0.500 0.000  -0.01
17 F 0.658 0.986 0.788  0.01
18 F 0.864 0.234 0.728  -0.01
19 F 0.226 0.244 0.452  0.00
20 F 0.023 0.174 0.046  0.08
21 F 0.774 0.756 0.548  0.00
22 F 0.130 0.986 0.788  0.01
23 F 0.521 0.159 0.043  0.12
24 F 0.789 0.500 0.000  -0.01
25 F 0.342 0.014 0.212  0.01
26 F 0.500 0.000 0.500  0.00
27 F 0.074 0.532 0.719  -0.01
28 F 0.926 0.468 0.281  -0.01
29 F 0.479 0.841 0.957  0.12
30 F 0.136 0.766 0.272  -0.01

(8)
Entry from the Alexandria database: an optimized crystal structure of CsPd3F (PBE).

Properties
**Space group**: No. 221
**Formation energy without anion corrections**: 1.089 eV per atom

Lattice parameters (Å, degrees): 5.255 5.255 5.255 90.00 90.00 90.00
Positions (direct):
1 F 0.500 0.500 0.500
2 Pd 0.000 0.000 0.500
3 Pd 0.000 0.500 0.000
4 Pd 0.500 0.000 0.000
5 Cs 0.000 0.000 0.000

(9)
Entry from the Alexandria database: an optimized crystal structure of Cs2Pd3F8 (PBE).

Properties
**Space group**: No. 12
**Formation energy without anion corrections**: -1.663 eV per atom

Lattice parameters (Å, degrees): 6.613 6.672 7.368 116.92 105.78 90.00
Each line ends with the local moment (μB).
Positions (direct):
1 Pd 0.000 0.753 0.000  1.43
2 Pd 0.000 0.247 0.000  1.43
3 Pd 0.500 0.000 0.000  0.10
4 F 0.357 0.277 0.123  0.07
5 F 0.643 0.723 0.877  0.07
6 F 0.018 0.893 0.786  0.17
7 F 0.982 0.107 0.214  0.17
8 F 0.357 0.846 0.123  0.07
9 F 0.989 0.391 0.782  0.16
10 F 0.011 0.609 0.218  0.16
11 F 0.643 0.154 0.877  0.07
12 Cs 0.671 0.699 0.399  0.00
13 Cs 0.329 0.301 0.601  0.00

(10)
Entry from the Alexandria database: an optimized crystal structure of Cs3Pd5F12 (PBE).

Properties
**Space group**: No. 230
**Formation energy without anion corrections**: -1.488 eV per atom

Lattice parameters (Å, degrees): 12.714 12.714 12.714 109.47 109.47 109.47
Each line ends with the local moment (μB).
Positions (direct):
1 F 0.577 0.904 0.407  0.00
2 F 0.330 0.827 0.423  0.00
3 F 0.907 0.077 0.904  0.00
4 F 0.503 0.173 0.096  0.00
5 F 0.003 0.407 0.830  0.00
6 F 0.404 0.997 0.827  0.00
7 F 0.327 0.904 0.997  0.00
8 F 0.593 0.997 0.670  0.00
9 F 0.497 0.670 0.093  0.00
10 F 0.404 0.407 0.077  0.00
11 F 0.830 0.907 0.003  0.00
12 F 0.423 0.327 0.330  0.00
13 F 0.327 0.423 0.830  0.00
14 F 0.827 0.497 0.404  0.00
15 F 0.170 0.077 0.673  0.00
16 F 0.407 0.404 0.577  0.00
17 F 0.904 0.327 0.497  0.00
18 F 0.997 0.404 0.327  0.00
19 F 0.173 0.670 0.077  0.00
20 F 0.003 0.596 0.673  0.00
21 F 0.827 0.330 0.923  0.00
22 F 0.407 0.003 0.330  0.00
23 F 0.593 0.596 0.423  0.00
24 F 0.904 0.577 0.907  0.00
25 F 0.577 0.673 0.670  0.00
26 F 0.173 0.503 0.596  0.00
27 F 0.170 0.093 0.997  0.00
28 F 0.503 0.330 0.907  0.00
29 F 0.096 0.423 0.093  0.00
30 F 0.596 0.593 0.923  0.00
31 F 0.093 0.923 0.096  0.00
32 F 0.596 0.003 0.173  0.00
33 F 0.670 0.497 0.593  0.00
34 F 0.673 0.096 0.003  0.00
35 F 0.907 0.830 0.503  0.00
36 F 0.830 0.923 0.327  0.00
37 F 0.673 0.577 0.170  0.00
38 F 0.077 0.907 0.404  0.00
39 F 0.923 0.830 0.827  0.00
40 F 0.093 0.170 0.497  0.00
41 F 0.670 0.173 0.577  0.00
42 F 0.923 0.093 0.596  0.00
43 F 0.077 0.170 0.173  0.00
44 F 0.497 0.827 0.904  0.00
45 F 0.423 0.096 0.593  0.00
46 F 0.096 0.673 0.503  0.00
47 F 0.997 0.593 0.170  0.00
48 F 0.330 0.503 0.407  0.00
49 Cs 0.875 0.125 0.250  0.00
50 Cs 0.375 0.625 0.250  0.00
51 Cs 0.875 0.750 0.125  0.00
52 Cs 0.375 0.750 0.625  0.00
53 Cs 0.125 0.875 0.750  0.00
54 Cs 0.250 0.125 0.375  0.00
55 Cs 0.625 0.375 0.750  0.00
56 Cs 0.750 0.375 0.125  0.00
57 Cs 0.750 0.875 0.625  0.00
58 Cs 0.250 0.625 0.875  0.00
59 Cs 0.125 0.250 0.875  0.00
60 Cs 0.625 0.250 0.375  0.00
61 Pd 0.375 0.250 0.125  0.67
62 Pd 0.625 0.875 0.250  0.67
63 Pd 0.125 0.375 0.250  0.67
64 Pd 0.000 0.500 0.000  -0.54
65 Pd 0.375 0.125 0.750  0.67
66 Pd 0.500 0.000 0.000  -0.54
67 Pd 0.875 0.250 0.625  0.67
68 Pd 0.125 0.750 0.375  0.67
69 Pd 0.500 0.000 0.500  -0.54
70 Pd 0.750 0.125 0.875  0.67
71 Pd 0.000 0.500 0.500  -0.54
72 Pd 0.625 0.750 0.875  0.67
73 Pd 0.000 0.000 0.000  -0.54
74 Pd 0.750 0.625 0.375  0.67
75 Pd 0.500 0.500 0.500  -0.54
76 Pd 0.875 0.625 0.750  0.67
77 Pd 0.250 0.875 0.125  0.67
78 Pd 0.000 0.000 0.500  -0.54
79 Pd 0.250 0.375 0.625  0.67
80 Pd 0.500 0.500 0.000  -0.54

(11)
Entry from the Alexandria database: an optimized crystal structure of CsPmPdF6 (PBE).

Properties
**Space group**: No. 74
**Formation energy without anion corrections**: -2.768 eV per atom

Lattice parameters (Å, degrees): 8.503 8.064 8.231 119.33 121.10 90.00
Each line ends with the local moment (μB).
Positions (direct):
1 F 0.444 0.670 0.263  0.07
2 F 0.818 0.093 0.263  0.07
3 F 0.556 0.330 0.737  0.07
4 F 0.444 0.093 0.263  0.07
5 F 0.824 0.074 0.648  0.00
6 F 0.570 0.320 0.140  0.16
7 F 0.430 0.680 0.860  0.16
8 F 0.182 0.907 0.737  0.07
9 F 0.182 0.330 0.737  0.07
10 F 0.818 0.670 0.263  0.07
11 F 0.176 0.926 0.352  0.00
12 F 0.556 0.907 0.737  0.07
13 Cs 0.820 0.570 0.641  0.00
14 Cs 0.180 0.430 0.359  0.00
15 Pd 0.500 0.000 0.000  1.49
16 Pd 0.500 0.500 0.000  1.49
17 Pm 0.000 0.000 0.500  0.01
18 Pm 0.500 0.000 0.500  0.01

(12)
Entry from the Alexandria database: an optimized crystal structure of Cs2PdPtF6 (PBE).

Properties
**Space group**: No. 139
**Formation energy without anion corrections**: -1.765 eV per atom

Lattice parameters (Å, degrees): 6.383 6.383 6.382 59.99 59.99 90.00
Each line ends with the local moment (μB).
Positions (direct):
1 F 0.266 0.266 0.468  -0.03
2 F 0.227 0.227 0.000  0.00
3 F 0.734 0.734 0.532  -0.03
4 F 0.773 0.773 0.000  0.00
5 F 0.773 0.227 0.000  0.00
6 F 0.227 0.773 0.000  0.00
7 Pd 0.500 0.500 0.000  0.44
8 Cs 0.250 0.750 0.500  0.00
9 Cs 0.750 0.250 0.500  0.00
10 Pt 0.000 0.000 0.000  -0.40

(13)
Entry from the Alexandria database: an optimized crystal structure of Cs2PuPd3F12 (PBE).

Properties
**Space group**: No. 166
**Formation energy without anion corrections**: -2.198 eV per atom

Lattice parameters (Å, degrees): 9.721 9.721 9.721 41.54 41.54 41.54
Each line ends with the local moment (μB).
Positions (direct):
1 F 0.105 0.659 0.105  -0.03
2 F 0.659 0.105 0.105  -0.03
3 F 0.895 0.895 0.341  -0.03
4 F 0.338 0.916 0.338  0.02
5 F 0.105 0.105 0.659  -0.03
6 F 0.341 0.895 0.895  -0.03
7 F 0.895 0.341 0.895  -0.03
8 F 0.662 0.662 0.084  0.02
9 F 0.916 0.338 0.338  0.02
10 F 0.662 0.084 0.662  0.02
11 F 0.338 0.338 0.916  0.02
12 F 0.084 0.662 0.662  0.02
13 Cs 0.386 0.386 0.386  0.00
14 Cs 0.614 0.614 0.614  0.00
15 Pd 0.000 0.000 0.500  0.11
16 Pd 0.000 0.500 0.000  0.11
17 Pd 0.500 0.000 0.000  0.11
18 Pu 0.000 0.000 0.000  3.81

(14)
Entry from the Alexandria database: an optimized crystal structure of CsRb4Pd3F12 (PBE).

Properties
**Space group**: No. 204
**Formation energy without anion corrections**: -2.033 eV per atom

Lattice parameters (Å, degrees): 8.300 8.300 8.300 109.47 109.47 109.47
Each line ends with the local moment (μB).
Positions (direct):
1 F 0.860 0.207 0.347  0.03
2 F 0.513 0.653 0.860  0.03
3 F 0.207 0.347 0.860  0.03
4 F 0.793 0.653 0.140  0.03
5 F 0.487 0.347 0.140  0.03
6 F 0.653 0.140 0.793  0.03
7 F 0.347 0.860 0.207  0.03
8 F 0.140 0.487 0.347  0.03
9 F 0.140 0.793 0.653  0.03
10 F 0.347 0.140 0.487  0.03
11 F 0.653 0.860 0.513  0.03
12 F 0.860 0.513 0.653  0.03
13 Pd 0.500 0.500 0.000  0.34
14 Pd 0.500 0.000 0.500  0.34
15 Pd 0.000 0.500 0.500  0.34
16 Rb 0.500 0.500 0.500  0.00
17 Rb 0.000 0.000 0.500  0.00
18 Rb 0.000 0.500 0.000  0.00
19 Rb 0.500 0.000 0.000  0.00
20 Cs 0.000 0.000 0.000  0.00

(15)
Entry from the Alexandria database: an optimized crystal structure of CsRb2PdF5 (PBE).

Properties
**Space group**: No. 127
**Formation energy without anion corrections**: -2.283 eV per atom

Lattice parameters (Å, degrees): 7.729 7.729 6.536 90.00 90.00 90.00
Each line ends with the local moment (μB).
Positions (direct):
1 F 0.629 0.871 0.216  0.01
2 F 0.500 0.500 0.500  0.00
3 F 0.629 0.871 0.784  0.01
4 F 0.871 0.371 0.784  0.01
5 F 0.129 0.629 0.784  0.01
6 F 0.871 0.371 0.216  0.01
7 F 0.129 0.629 0.216  0.01
8 F 0.371 0.129 0.784  0.01
9 F 0.000 0.000 0.500  0.00
10 F 0.371 0.129 0.216  0.01
11 Pd 0.500 0.000 0.000  0.16
12 Pd 0.000 0.500 0.000  0.16
13 Rb 0.322 0.822 0.500  0.00
14 Rb 0.822 0.678 0.500  0.00
15 Rb 0.178 0.322 0.500  0.00
16 Rb 0.678 0.178 0.500  0.00
17 Cs 0.500 0.500 0.000  0.00
18 Cs 0.000 0.000 0.000  0.00

(16)
Entry from the Alexandria database: an optimized crystal structure of Cs2RbPdF6 (PBE).

Properties
**Space group**: No. 166
**Formation energy without anion corrections**: -2.210 eV per atom

Lattice parameters (Å, degrees): 6.503 6.503 13.343 75.90 75.90 60.00
Each line ends with the local moment (μB).
Positions (direct):
1 F 0.274 0.817 0.092  0.05
2 F 0.817 0.817 0.092  0.05
3 F 0.618 0.170 0.594  0.05
4 F 0.382 0.830 0.406  0.05
5 F 0.183 0.183 0.908  0.05
6 F 0.830 0.382 0.406  0.05
7 F 0.817 0.274 0.092  0.05
8 F 0.382 0.382 0.406  0.05
9 F 0.726 0.183 0.908  0.05
10 F 0.183 0.726 0.908  0.05
11 F 0.170 0.618 0.594  0.05
12 F 0.618 0.618 0.594  0.05
13 Cs 0.303 0.303 0.090  0.00
14 Cs 0.861 0.861 0.418  0.00
15 Cs 0.697 0.697 0.910  0.00
16 Cs 0.139 0.139 0.582  0.00
17 Pd 0.500 0.500 0.500  0.60
18 Pd 0.000 0.000 0.000  0.70
19 Rb 0.411 0.411 0.768  0.00
20 Rb 0.589 0.589 0.232  0.00